Entry 1:
Entry from Alexandria via LeMat-Bulk: K2CuPIr after structural relaxation (PBE).

```
data_K2CuPIr
_cell_length_a 5.984
_cell_length_b 5.984
_cell_length_c 4.656
_cell_angle_alpha 90.00
_cell_angle_beta 90.00
_cell_angle_gamma 90.00
_symmetry_space_group_name_H-M 'P 4/m m m'
_symmetry_Int_Tables_number 123
_symmetry_space_group_name_Hall '-P 4 2'
loop_
_atom_site_label
_atom_site_type_symbol
_atom_site_fract_x
_atom_site_fract_y
_atom_site_fract_z
K1 K 0.000 0.500 0.000
Cu1 Cu 0.000 0.000 0.000
P1 P 0.500 0.500 0.500
Ir1 Ir 0.000 0.000 0.500
```

Calculated values
For the formation energy, the calculation gives 1.0895 eV/atom. Its density of states at the Fermi level is 1.17 states/eV/atom.



Entry 2:
Entry from Alexandria via LeMat-Bulk: KCu2IrPd after structural relaxation (PBE).

```
data_KCu2IrPd
_cell_length_a 4.839
_cell_length_b 4.839
_cell_length_c 4.919
_cell_angle_alpha 90.00
_cell_angle_beta 90.00
_cell_angle_gamma 90.00
_symmetry_space_group_name_H-M 'P 4/m m m'
_symmetry_Int_Tables_number 123
_symmetry_space_group_name_Hall '-P 4 2'
loop_
_atom_site_label
_atom_site_type_symbol
_atom_site_fract_x
_atom_site_fract_y
_atom_site_fract_z
K1 K 0.000 0.000 0.000
Cu1 Cu 0.000 0.500 0.500
Ir1 Ir 0.500 0.500 0.500
Pd1 Pd 0.500 0.500 0.000
```

Calculated values
For the formation energy, the calculation gives 0.6895 eV/atom. Its density of states at the Fermi level is 1.25 states/eV/atom.



Entry 3:
Entry from Alexandria via LeMat-Bulk: KSc2CuIr after structural relaxation (PBE).

```
data_KSc2CuIr
_cell_length_a 4.778
_cell_length_b 4.778
_cell_length_c 4.679
_cell_angle_alpha 90.00
_cell_angle_beta 90.00
_cell_angle_gamma 90.00
_symmetry_space_group_name_H-M 'P 4/m m m'
_symmetry_Int_Tables_number 123
_symmetry_space_group_name_Hall '-P 4 2'
loop_
_atom_site_label
_atom_site_type_symbol
_atom_site_fract_x
_atom_site_fract_y
_atom_site_fract_z
K1 K 0.000 0.000 0.000
Sc1 Sc 0.000 0.500 0.000
Cu1 Cu 0.500 0.500 0.500
Ir1 Ir 0.000 0.000 0.500
```

Calculated values
For the formation energy, the calculation gives 1.8134 eV/atom. Its density of states at the Fermi level is 1.04 states/eV/atom.